Entry from the Alexandria database: a geometry-optimized Ho8Te4AuSe3 structure (PBE).

Its energy relative to the elements, uncorrected is -22.47 eV/f.u.

The space group is R-3m (No. 166, hexagonal axes) and the conventional cell measures 8.4064, 8.4064 and 20.9762 Å, with angles of 90.00, 90.00 and 120.00 degrees. The distinct sites, in fractional coordinates, are Ho at (0.0000, 0.0000, 0.2393), Ho at (0.0067, 0.5033, 0.2404), Te at (0.0000, 0.0000, 0.0000), Te at (0.0000, 0.5000, 0.0000), Au at (0.0000, 0.0000, 0.5000) and Se at (0.0000, 0.5000, 0.5000).


Entry from the Alexandria database: a geometry-optimized Ca2ScBr structure (PBE).

As for the energy above the most stable polymorph in this dataset: 521 meV/atom. Its energy relative to the elements, uncorrected is -0.17 eV/f.u.

The space group is I4/mmm (No. 139) and the conventional cell measures 4.850, 4.850 and 10.847 Å, with angles of 90.00, 90.00 and 90.00 degrees. The distinct sites, in fractional coordinates, are Ca at (0.000, 0.500, 0.250), Sc at (0.000, 0.000, 0.000) and Br at (0.000, 0.000, 0.500).


Entry from the Alexandria database: a geometry-optimized Ca2Tl7Pb2 structure (PBE).

As for the energy above the most stable polymorph in this dataset: 8 meV/atom. The calculation puts the calculated formation energy at -0.12 eV/atom.

The space group is C2/m (No. 12) and the conventional cell measures 8.650, 10.150 and 8.075 Å, with angles of 90.00, 103.74 and 90.00 degrees. The distinct sites, in fractional coordinates, are Ca at (0.000, 0.197, 0.000), Tl at (0.000, 0.500, 0.500), Tl at (0.160, 0.500, 0.935), Tl at (0.222, 0.191, 0.685) and Pb at (0.102, 0.000, 0.350).


Respective total energy values: -5.337, -3.043, -2.663 eV/atom.
Respective D(E_F) values: 20.6, 14.7, 13.5 states/eV per cell.